Entry 1:
# Er2AlZn3Cu12 (GGA-PBE, optimized geometry)
# Energy relative to the elements (eV per atom): 0.002
data_Er2AlZn3Cu12
_chemical_formula_sum 'Er2 Al1 Zn3 Cu12'
_symmetry_space_group_name_H-M 'P 1'
_symmetry_Int_Tables_number 1
_cell_length_a 6.483
_cell_length_b 6.483
_cell_length_c 6.483
_cell_angle_alpha 84.39
_cell_angle_beta 84.39
_cell_angle_gamma 84.39
loop_
_symmetry_equiv_pos_as_xyz
'x,y,z'
loop_
_atom_site_label
_atom_site_type_symbol
_atom_site_fract_x
_atom_site_fract_y
_atom_site_fract_z
Cu1 Cu 0.864 0.416 0.416
Cu2 Cu 0.197 0.724 0.197
Cu3 Cu 0.136 0.584 0.584
Cu4 Cu 0.197 0.197 0.724
Cu5 Cu 0.803 0.803 0.276
Cu6 Cu 0.416 0.864 0.416
Cu7 Cu 0.416 0.416 0.864
Cu8 Cu 0.584 0.584 0.136
Zn1 Zn 0.500 0.000 0.000
Zn2 Zn 0.000 0.500 0.000
Er1 Er 0.294 0.294 0.294
Er2 Er 0.706 0.706 0.706
Cu9 Cu 0.584 0.136 0.584
Cu10 Cu 0.276 0.803 0.803
Cu11 Cu 0.803 0.276 0.803
Cu12 Cu 0.724 0.197 0.197
Al1 Al 0.000 0.000 0.000
Zn3 Zn 0.000 0.000 0.500

Entry 2:
# EuAl3Cu2 (GGA-PBE, optimized geometry)
# Energy relative to the elements (eV per atom): -0.376
data_EuAl3Cu2
_chemical_formula_sum 'Eu1 Al3 Cu2'
_symmetry_space_group_name_H-M 'P 1'
_symmetry_Int_Tables_number 1
_cell_length_a 5.433
_cell_length_b 5.433
_cell_length_c 4.129
_cell_angle_alpha 90.00
_cell_angle_beta 90.00
_cell_angle_gamma 120.00
loop_
_symmetry_equiv_pos_as_xyz
'x,y,z'
loop_
_atom_site_label
_atom_site_type_symbol
_atom_site_fract_x
_atom_site_fract_y
_atom_site_fract_z
Al1 Al 0.500 0.000 0.500
Al2 Al 0.500 0.500 0.500
Cu1 Cu 0.667 0.333 0.000
Al3 Al 0.000 0.500 0.500
Eu1 Eu 0.000 0.000 0.000
Cu2 Cu 0.333 0.667 0.000

Entry 3:
# EuAl8Cu4 (GGA-PBE, optimized geometry)
# Energy relative to the elements (eV per atom): -0.293
data_EuAl8Cu4
_chemical_formula_sum 'Eu1 Al8 Cu4'
_symmetry_space_group_name_H-M 'P 1'
_symmetry_Int_Tables_number 1
_cell_length_a 6.785
_cell_length_b 6.785
_cell_length_c 6.785
_cell_angle_alpha 98.28
_cell_angle_beta 98.28
_cell_angle_gamma 135.39
loop_
_symmetry_equiv_pos_as_xyz
'x,y,z'
loop_
_atom_site_label
_atom_site_type_symbol
_atom_site_fract_x
_atom_site_fract_y
_atom_site_fract_z
Cu1 Cu 0.500 0.000 0.000
Al1 Al 0.000 0.652 0.652
Al2 Al 0.280 0.500 0.780
Cu2 Cu 0.000 0.000 0.500
Al3 Al 0.500 0.720 0.220
Al4 Al 0.000 0.348 0.348
Al5 Al 0.348 0.000 0.348
Al6 Al 0.720 0.500 0.220
Cu3 Cu 0.000 0.500 0.000
Eu1 Eu 0.000 0.000 0.000
Cu4 Cu 0.500 0.500 0.500
Al7 Al 0.500 0.280 0.780
Al8 Al 0.652 0.000 0.652

Entry 4:
# Eu2AlCu (GGA-PBE, optimized geometry)
# Energy relative to the elements (eV per atom): -0.135
data_Eu2AlCu
_chemical_formula_sum 'Eu2 Al1 Cu1'
_symmetry_space_group_name_H-M 'P 1'
_symmetry_Int_Tables_number 1
_cell_length_a 3.731
_cell_length_b 3.731
_cell_length_c 7.348
_cell_angle_alpha 90.00
_cell_angle_beta 90.00
_cell_angle_gamma 90.00
loop_
_symmetry_equiv_pos_as_xyz
'x,y,z'
loop_
_atom_site_label
_atom_site_type_symbol
_atom_site_fract_x
_atom_site_fract_y
_atom_site_fract_z
Al1 Al 0.500 0.500 0.500
Eu1 Eu 0.000 0.000 0.759
Eu2 Eu 0.000 0.000 0.241
Cu1 Cu 0.500 0.500 0.000

Entry 5:
# LiEuAlCu (GGA-PBE, optimized geometry)
# Energy relative to the elements (eV per atom): -0.105
data_LiEuAlCu
_chemical_formula_sum 'Li1 Eu1 Al1 Cu1'
_symmetry_space_group_name_H-M 'P 1'
_symmetry_Int_Tables_number 1
_cell_length_a 4.774
_cell_length_b 4.774
_cell_length_c 4.774
_cell_angle_alpha 60.00
_cell_angle_beta 60.00
_cell_angle_gamma 60.00
loop_
_symmetry_equiv_pos_as_xyz
'x,y,z'
loop_
_atom_site_label
_atom_site_type_symbol
_atom_site_fract_x
_atom_site_fract_y
_atom_site_fract_z
Li1 Li 0.750 0.750 0.750
Al1 Al 0.500 0.500 0.500
Eu1 Eu 0.000 0.000 0.000
Cu1 Cu 0.250 0.250 0.250

Entry 6:
# EuLuAlCu (GGA-PBE, optimized geometry)
# Energy relative to the elements (eV per atom): -0.173
data_EuLuAlCu
_chemical_formula_sum 'Eu1 Lu1 Al1 Cu1'
_symmetry_space_group_name_H-M 'P 1'
_symmetry_Int_Tables_number 1
_cell_length_a 5.080
_cell_length_b 5.080
_cell_length_c 5.080
_cell_angle_alpha 60.00
_cell_angle_beta 60.00
_cell_angle_gamma 60.00
loop_
_symmetry_equiv_pos_as_xyz
'x,y,z'
loop_
_atom_site_label
_atom_site_type_symbol
_atom_site_fract_x
_atom_site_fract_y
_atom_site_fract_z
Eu1 Eu 0.500 0.500 0.500
Al1 Al 0.250 0.250 0.250
Cu1 Cu 0.750 0.750 0.750
Lu1 Lu 0.000 0.000 0.000

Entry 7:
# NdEuAlCu (GGA-PBE, optimized geometry)
# Energy relative to the elements (eV per atom): -0.156
data_NdEuAlCu
_chemical_formula_sum 'Nd1 Eu1 Al1 Cu1'
_symmetry_space_group_name_H-M 'P 1'
_symmetry_Int_Tables_number 1
_cell_length_a 5.235
_cell_length_b 5.235
_cell_length_c 5.235
_cell_angle_alpha 60.00
_cell_angle_beta 60.00
_cell_angle_gamma 60.00
loop_
_symmetry_equiv_pos_as_xyz
'x,y,z'
loop_
_atom_site_label
_atom_site_type_symbol
_atom_site_fract_x
_atom_site_fract_y
_atom_site_fract_z
Cu1 Cu 0.500 0.500 0.500
Nd1 Nd 0.250 0.250 0.250
Eu1 Eu 0.750 0.750 0.750
Al1 Al 0.000 0.000 0.000

Entry 8:
# PrEuAlCu (GGA-PBE, optimized geometry)
# Energy relative to the elements (eV per atom): -0.151
data_PrEuAlCu
_chemical_formula_sum 'Pr1 Eu1 Al1 Cu1'
_symmetry_space_group_name_H-M 'P 1'
_symmetry_Int_Tables_number 1
_cell_length_a 5.257
_cell_length_b 5.257
_cell_length_c 5.257
_cell_angle_alpha 60.00
_cell_angle_beta 60.00
_cell_angle_gamma 60.00
loop_
_symmetry_equiv_pos_as_xyz
'x,y,z'
loop_
_atom_site_label
_atom_site_type_symbol
_atom_site_fract_x
_atom_site_fract_y
_atom_site_fract_z
Al1 Al 0.750 0.750 0.750
Cu1 Cu 0.250 0.250 0.250
Pr1 Pr 0.500 0.500 0.500
Eu1 Eu 0.000 0.000 0.000

Among the records above, which one has the highest energy relative to the elements?
Er2AlZn3Cu12

What is the formula in the seventh record?
NdEuAlCu

Among the records above, which one has the lowest energy relative to the elements?
EuAl3Cu2

Please write out number 7 again, unchanged.
# NdEuAlCu (GGA-PBE, optimized geometry)
# Energy relative to the elements (eV per atom): -0.156
data_NdEuAlCu
_chemical_formula_sum 'Nd1 Eu1 Al1 Cu1'
_symmetry_space_group_name_H-M 'P 1'
_symmetry_Int_Tables_number 1
_cell_length_a 5.235
_cell_length_b 5.235
_cell_length_c 5.235
_cell_angle_alpha 60.00
_cell_angle_beta 60.00
_cell_angle_gamma 60.00
loop_
_symmetry_equiv_pos_as_xyz
'x,y,z'
loop_
_atom_site_label
_atom_site_type_symbol
_atom_site_fract_x
_atom_site_fract_y
_atom_site_fract_z
Cu1 Cu 0.500 0.500 0.500
Nd1 Nd 0.250 0.250 0.250
Eu1 Eu 0.750 0.750 0.750
Al1 Al 0.000 0.000 0.000